{"formula": "LaMnP3", "functional": "PBE", "state": "relaxed", "lattice_angstrom": [[3.772, 0.000, 0.000], [0.000, 4.248, 0.000], [0.000, 0.000, 5.687]], "species": ["La", "Mn", "P", "P", "P"], "frac_coords": [[0.000, 0.000, 0.000], [0.000, 0.500, 0.500], [0.000, 0.000, 0.500], [0.500, 0.500, 0.248], [0.500, 0.500, 0.752]], "formation_enthalpy_0k_ev_per_atom": -0.554, "spacegroup": "Pmmm (47)", "dos_at_fermi_per_ev_atom": 0.654, "de_polymorph_kj_per_mol_atoms": 0.0}


{"formula": "SiTc2Mo", "functional": "PBE", "state": "relaxed", "lattice_angstrom": [[2.770, 0.000, 0.000], [0.000, 4.252, 0.000], [-0.659, 0.000, 4.897]], "species": ["Si", "Tc", "Tc", "Mo"], "frac_coords": [[0.000, 0.000, 0.000], [0.220, 0.500, 0.759], [0.780, 0.500, 0.241], [0.500, 0.000, 0.500]], "spacegroup": "P2/m (10)", "dos_at_fermi_per_ev_atom": 0.744, "e_form_raw_ev_per_atom": -0.063}


{"formula": "NaDyPt4", "functional": "PBE", "state": "relaxed", "lattice_angstrom": [[0.000, 3.813, 3.813], [3.813, 0.000, 3.813], [3.813, 3.813, 0.000]], "species": ["Na", "Dy", "Pt", "Pt", "Pt", "Pt"], "frac_coords": [[0.000, 0.000, 0.000], [0.250, 0.250, 0.250], [0.124, 0.625, 0.625], [0.625, 0.124, 0.625], [0.625, 0.625, 0.124], [0.625, 0.625, 0.625]], "formation_enthalpy_0k_ev_per_atom": -0.817, "spacegroup": "F-43m (216)", "dos_at_fermi_per_ev_atom": 0.997}


{"formula": "La2Tb3PmPr6", "functional": "PBE", "state": "relaxed", "lattice_angstrom": [[3.191, -5.532, 0.000], [3.191, 5.532, 0.000], [-2.136, 0.000, 11.965]], "species": ["La", "La", "Tb", "Tb", "Tb", "Pm", "Pr", "Pr", "Pr", "Pr", "Pr", "Pr"], "frac_coords": [[0.167, 0.833, 0.000], [0.833, 0.167, 0.000], [0.000, 0.000, 0.500], [0.334, 0.666, 0.500], [0.666, 0.334, 0.500], [0.500, 0.500, 0.000], [0.082, 0.415, 0.745], [0.252, 0.252, 0.255], [0.415, 0.082, 0.745], [0.585, 0.918, 0.255], [0.748, 0.748, 0.745], [0.918, 0.585, 0.255]], "formation_enthalpy_0k_ev_per_atom": 0.016, "spacegroup": "C2/m (12)", "dos_at_fermi_per_ev_atom": 1.565}